# 1
Pu3In after structural relaxation, computed with PBE.

POSCAR file:
```
Pu3In
1.0
-3.2418 -2.9459 -1.7080
2.9143 -1.1804 -3.4955
1.9388 -1.4327 5.2621
Pu In
3 1
Cartesian
-0.7334 -3.2208 0.4762
-0.1638 -2.0631 -2.6017
2.3447 -2.3381 -0.4175
0.0000 0.0000 0.0000
```

Values from the calculation:
Magnetization   17.456 μB/cell
ΔE_f   10 meV/atom
Volume   104.7 Å³/cell
Total DFT energy (no corrections)   -11.42 eV/atom
Energy above the lowest structure with this stoichiometry   14 meV per atom



# 2
CaSb2Pt after structural relaxation, computed with PBE.

POSCAR file:
```
CaSb2Pt
1.0
4.2204 0.0000 0.0000
0.0000 5.1070 0.0292
0.0000 1.5072 4.8821
Ca Pt Sb
1 1 2
Cartesian
2.1102 1.6535 1.2278
2.1102 4.9606 3.6834
0.0000 6.2810 4.6650
0.0000 3.6403 2.7019
```

Values from the calculation:
Formation energy (no corrections)   -0.6801 eV/atom
Magnetization   0.000 μB/cell
Volume   105.0 Å³/cell
Total DFT energy (no corrections)   -4.75 eV/atom



# 3
SmSnBr2 after structural relaxation, computed with PBE.

POSCAR file:
```
SmSnBr2
1.0
-2.6041 0.5690 -2.6328
0.5957 -1.1722 -3.5083
-5.1681 -9.6760 0.3550
Br Sm Sn
2 1 1
Cartesian
-4.0088 -7.2343 -0.2640
-3.1677 -3.0450 -5.5221
0.0000 0.0000 0.0000
-3.5883 -5.1397 -2.8931
```

Values from the calculation:
Formation energy (no corrections)   -0.5644 eV/atom
Magnetization   0.000 μB/cell
Volume   130.8 Å³/cell
Total DFT energy (no corrections)   -3.58 eV/atom



# 4
PmEuGdAg after structural relaxation, computed with PBE.

POSCAR file:
```
PmEuGdAg
1.0
-2.0792 2.5591 4.3728
-5.4269 0.3072 0.6693
-2.4384 -2.8903 3.9616
Ag Gd Eu Pm
1 1 1 1
Cartesian
-7.4584 -0.0180 6.7528
0.0000 0.0000 0.0000
-2.4861 -0.0060 2.2509
-4.9723 -0.0120 4.5019
```

Values from the calculation:
Magnetization   15.576 μB/cell
ΔE_f   69 meV/atom
Volume   116.2 Å³/cell
Total DFT energy (no corrections)   -7.92 eV/atom



# 5
CsBaBiOs after structural relaxation, computed with PBE.

POSCAR file:
```
CsBaBiOs
1.0
-8.5974 4.8599 -2.9540
-2.4086 -3.8660 0.6496
-0.1227 1.3881 7.8067
Ba Cs Os Bi
2 2 2 2
Cartesian
-8.5151 5.6149 1.8444
-9.6580 2.9878 -1.7341
-3.7949 2.3361 -0.1677
-5.0606 1.0971 4.0604
-6.8293 4.1623 -0.5501
-8.0950 2.9234 3.6780
-6.3307 4.7375 4.7221
-7.4736 2.1104 1.1435
```

Values from the calculation:
Magnetization   0.000 μB/cell
ΔE_f   330 meV/atom
Volume   369.5 Å³/cell
Total DFT energy (no corrections)   -4.14 eV/atom
Energy above the lowest structure with this stoichiometry   34 meV per atom



# 6
Ti6V2Ga after structural relaxation, computed with PBE.

POSCAR file:
```
Ti6V2Ga
1.0
-7.2759 -0.0662 0.9191
3.1307 -5.8604 3.1052
3.2813 5.6945 3.2549
Ti Ga V
12 2 4
Cartesian
-1.8231 1.5106 4.0114
-1.6594 -1.3114 4.8705
2.8502 2.9232 3.6172
4.0261 0.9956 5.6132
-4.8900 -1.2278 1.6661
-3.9564 1.5658 1.8954
0.9591 -1.7428 3.2679
1.0854 0.3999 5.3306
-1.9493 -0.6321 1.9487
0.7955 1.0792 2.4088
3.0924 -1.7980 5.3839
-3.7142 -3.1554 3.6621
0.0000 0.0000 0.0000
3.2060 -0.0830 3.1801
-1.1896 -2.9862 2.8880
-2.6511 3.7352 2.7701
-1.3435 1.8930 1.4039
0.3257 2.7540 4.3912
```

Values from the calculation:
Magnetization   0.024 μB/cell
ΔE_f   71 meV/atom
Volume   301.5 Å³/cell
Total DFT energy (no corrections)   -7.56 eV/atom



Question: Which value of magnetization does entry 6 give?
Answer: 0.024 μB/cell